This record from Alexandria describes an optimized crystal structure of SmDy2Tc9. The functional is PBE.

The space-group type is No. 166. The value obtained for the volume is 218.3 Å³ per cell. The value obtained for the density of states at the Fermi level is 13.7 states/eV/cell. The calculation puts the total energy at -8.969 eV per atom.

Unit cell a=5.3773 b=5.3773 c=9.2523 alpha=73.11 beta=73.11 gamma=60.00
Last column: nearest neighbours and their distance in Å.
Fractional positions:
Tc (0.0730, 0.5888, 0.7494)  7 Tc 2.60-2.77
Dy (0.8564, 0.8564, 0.4307)  12 Tc 3.11-3.16, 3 Dy 3.33
Tc (0.6614, 0.6614, 0.0158)  6 Tc 2.60-2.77
Tc (0.5888, 0.0730, 0.7494)  7 Tc 2.60-2.77
Tc (0.4112, 0.4112, 0.2506)  7 Tc 2.60-2.77
Tc (0.3386, 0.3386, 0.9842)  6 Tc 2.60-2.77
Tc (0.4112, 0.9270, 0.2506)  7 Tc 2.60-2.77
Tc (0.9270, 0.4112, 0.2506)  7 Tc 2.60-2.77
Dy (0.1436, 0.1436, 0.5693)  12 Tc 3.11-3.16, 3 Dy 3.33
Sm (0.0000, 0.0000, 0.0000)  18 Tc 3.11-3.46
Tc (0.5888, 0.5888, 0.7494)  7 Tc 2.60-2.77
Tc (0.5000, 0.5000, 0.5000)  6 Tc 2.70

---

This record from Alexandria describes an optimized crystal structure of Tm4BiPSe2. The functional is PBE.

The calculation puts the formation energy from raw total energies at -11.39 eV/f.u. The space-group type is No. 10. The value obtained for the volume is 197.2 Å³ per cell. The value obtained for the density of states at the Fermi level is 3.3 states/eV/cell.

Unit cell a=4.0961 b=7.0640 c=7.2289 alpha=70.56 beta=90.00 gamma=90.00
Last column: nearest neighbours and their distance in Å.
Fractional positions:
Se (0.0000, 0.0000, 0.0000)  6 Tm 3.02-3.06
P (0.0000, 0.5000, 0.5000)  6 Tm 2.77-2.80
Tm (0.5000, 0.2615, 0.7258)  2 P 2.80, 3 Se 2.84-3.02, 1 Bi 3.00
Tm (0.0000, 0.2473, 0.2770)  1 P 2.77, 3 Se 2.82-3.06, 2 Bi 3.00
Tm (0.0000, 0.7527, 0.7230)  1 P 2.78, 3 Se 2.82-3.06, 2 Bi 3.00
Bi (0.5000, 0.5000, 0.0000)  6 Tm 3.00
Se (0.5000, 0.0000, 0.5000)  6 Tm 2.82-2.84
Tm (0.5000, 0.7385, 0.2742)  2 P 2.80, 3 Se 2.84-3.02, 1 Bi 3.00

---

This record from Alexandria describes an optimized crystal structure of TbSm8Y4. The functional is PBE.

The space-group type is No. 65. The value obtained for the volume is 450.9 Å³ per cell. The value obtained for the density of states at the Fermi level is 19.4 states/eV/cell. The calculation puts the total energy at -5.021 eV per atom.

Unit cell a=12.5039 b=7.5155 c=10.4565 alpha=90.00 beta=146.73 gamma=107.49
Last column: nearest neighbours and their distance in Å.
Fractional positions:
Sm (0.0000, 0.7830, 0.2896)  1 Tb 3.06, 1 Sm 3.26
Y (0.0000, 0.0000, 0.0000)  8 Sm 3.44-3.63, 2 Y 3.76
Sm (0.4752, 0.7376, 0.6696)  4 Y 3.40-3.71, 6 Sm 3.57-3.77
Sm (0.5248, 0.2624, 0.3304)  4 Y 3.40-3.71, 6 Sm 3.57-3.77
Sm (0.0000, 0.2170, 0.2896)  1 Tb 3.06, 1 Sm 3.26
Sm (0.0000, 0.2170, 0.7104)  1 Tb 3.06, 1 Sm 3.26
Y (0.5000, 0.0000, 0.0000)  2 Tb 3.43, 8 Sm 3.62-3.71, 2 Y 3.76
Y (0.5000, 0.5000, 0.0000)  2 Tb 3.43, 8 Sm 3.62-3.71, 2 Y 3.76
Sm (0.0000, 0.7830, 0.7104)  1 Tb 3.06, 1 Sm 3.26
Sm (0.5241, 0.2621, 0.7189)  4 Y 3.41-3.71, 6 Sm 3.56-3.77
Tb (0.0000, 0.5000, 0.5000)  4 Sm 3.06
Y (0.0000, 0.5000, 0.0000)  8 Sm 3.40-3.70, 2 Y 3.76
Sm (0.4759, 0.7379, 0.2811)  4 Y 3.41-3.71, 6 Sm 3.56-3.77

---

This record from Alexandria describes an optimized crystal structure of PdNF2. The functional is PBE.

The calculation puts the formation energy from raw total energies at 2.42 eV/f.u. The energy above the most stable polymorph in this dataset is 56 meV per atom. The space-group type is No. 122. The value obtained for the volume is 82.7 Å³ per cell. The value obtained for the density of states at the Fermi level is 4.8 states/eV/cell.

Unit cell a=3.2990 b=3.2990 c=7.9447 alpha=78.02 beta=78.02 gamma=90.00
Last column: nearest neighbours and their distance in Å.
Fractional positions:
N (0.2500, 0.7500, 0.5000)  4 F 2.23, 4 Pd 2.33
Pd (0.0000, 0.0000, 0.0000)  4 F 2.23, 4 N 2.33
Pd (0.7500, 0.2500, 0.5000)  4 F 2.23, 4 N 2.33
F (0.1236, 0.6250, 0.2500)  2 Pd 2.23, 2 N 2.23, 4 F 2.33-2.34
N (0.5000, 0.5000, 0.0000)  4 F 2.23, 4 Pd 2.33
F (0.6264, 0.1250, 0.2500)  2 Pd 2.23, 2 N 2.23, 4 F 2.33-2.34
F (0.3750, 0.3736, 0.7500)  2 Pd 2.23, 2 N 2.23, 4 F 2.33-2.34
F (0.8750, 0.8764, 0.7500)  2 Pd 2.23, 2 N 2.23, 4 F 2.33-2.34

---

This record from Alexandria describes an optimized crystal structure of DyMg2. The functional is PBE.

The space-group type is No. 139. The value obtained for the volume is 77.9 Å³ per cell. The value obtained for the density of states at the Fermi level is 3.7 states/eV/cell. The calculation puts the total energy at -2.638 eV per atom.

Unit cell a=3.4292 b=3.4292 c=7.0523 alpha=104.07 beta=104.07 gamma=90.00
Last column: nearest neighbours and their distance in Å.
Fractional positions:
Mg (0.6751, 0.6751, 0.3502)  8 Mg 3.13-3.43, 4 Dy 3.36
Dy (0.0000, 0.0000, 0.0000)  8 Mg 3.36, 4 Dy 3.43
Mg (0.3249, 0.3249, 0.6498)  8 Mg 3.13-3.43, 4 Dy 3.36

---

This record from Alexandria describes an optimized crystal structure of Tb12TlPd6. The functional is PBE.

The energy above the most stable polymorph in this dataset is 0 meV per atom. The space-group type is No. 204. The value obtained for the volume is 501.5 Å³ per cell. The value obtained for the density of states at the Fermi level is 15.5 states/eV/cell.

Unit cell a=8.6689 b=8.6689 c=8.6689 alpha=109.47 beta=109.47 gamma=109.47
Last column: nearest neighbours and their distance in Å.
Fractional positions:
Tl (0.0000, 0.0000, 0.0000)  12 Tb 3.50
Tb (0.8161, 0.2974, 0.1136)  1 Pd 2.71
Tb (0.8864, 0.1839, 0.7026)  1 Pd 2.71
Tb (0.8161, 0.7026, 0.5187)  1 Pd 2.71
Tb (0.5187, 0.8161, 0.7026)  1 Pd 2.71
Tb (0.7026, 0.5187, 0.8161)  1 Pd 2.71
Pd (0.1362, 0.6362, 0.5000)  2 Tb 2.71, 1 Pd 2.73
Tb (0.2974, 0.4813, 0.1839)  1 Pd 2.71
Pd (0.5000, 0.8638, 0.3638)  2 Tb 2.71, 1 Pd 2.73
Tb (0.4813, 0.1839, 0.2974)  1 Pd 2.71
Tb (0.1839, 0.7026, 0.8864)  1 Pd 2.71
Pd (0.3638, 0.5000, 0.8638)  2 Tb 2.71, 1 Pd 2.73
Pd (0.8638, 0.3638, 0.5000)  2 Tb 2.71, 1 Pd 2.73
Pd (0.6362, 0.5000, 0.1362)  2 Tb 2.71, 1 Pd 2.73
Tb (0.2974, 0.1136, 0.8161)  1 Pd 2.71
Tb (0.1839, 0.2974, 0.4813)  1 Pd 2.71
Pd (0.5000, 0.1362, 0.6362)  2 Tb 2.71, 1 Pd 2.73
Tb (0.1136, 0.8161, 0.2974)  1 Pd 2.71
Tb (0.7026, 0.8864, 0.1839)  1 Pd 2.71

---

Computed total moment, in the same sequence as the records: 0.000; 0.000; 0.001; 0.000; 0.000; 0.000 μB/f.u..